Record 1
Crystalline YTc4W at its relaxed geometry. Source: the Alexandria database, functional PBE.

Output
**V**: 101.8 Å³/f.u.
**DFT formation energy**: 0.14 eV per atom
**E**: -10.00 eV per atom

abc: 5.2403 5.2403 5.2403
angles: 60.00 60.00 60.00
Closest atoms and distances in Å follow each position.
Atoms (fractional coordinates):
Tc1 0.3751 0.3751 0.8747  6 Tc 2.62
Tc2 0.3751 0.3751 0.3751  6 Tc 2.62
Tc3 0.3751 0.8747 0.3751  6 Tc 2.62
Tc4 0.8747 0.3751 0.3751  6 Tc 2.62
W1 0.7500 0.7500 0.7500  12 Tc 3.07, 4 Y 3.21
Y1 0.0000 0.0000 0.0000  12 Tc 3.07, 4 W 3.21

***

Record 2
Crystalline BaInMo at its relaxed geometry. Source: the Alexandria database, functional PBE.

Output
**V**: 113.8 Å³/f.u.
**DFT formation energy**: 1.45 eV per atom
**E**: -3.72 eV per atom
**ΔE to the lowest computed polymorph**: 830 meV per atom

abc: 5.4401 5.4401 5.4401
angles: 60.00 60.00 60.00
Closest atoms and distances in Å follow each position.
Atoms (fractional coordinates):
Ba1 0.7500 0.7500 0.7500  4 In 3.33, 4 Mo 3.33
Mo1 0.5000 0.5000 0.5000  4 Ba 3.33
In1 0.0000 0.0000 0.0000  4 Ba 3.33

***

Record 3
Crystalline K6Ag2Pb at its relaxed geometry. Source: the Alexandria database, functional PBE.

Output
**V**: 389.1 Å³/f.u.
**DFT formation energy**: -0.01 eV per atom
**E**: -1.79 eV per atom

abc: 10.0927 10.0927 10.0927
angles: 101.39 111.33 116.03
Closest atoms and distances in Å follow each position.
Atoms (fractional coordinates):
Pb1 0.0000 0.5000 0.5000  12 K 3.84-4.13
Pb2 0.0000 0.0000 0.0000  8 K 3.74-3.83, 2 Ag 3.81
K1 0.7018 0.6690 0.3708  3 Ag 3.51-3.60
K2 0.2982 0.3310 0.6292  3 Ag 3.51-3.60
K3 0.4744 0.1878 0.2867  3 Ag 3.47-3.73, 1 Pb 3.83
K4 0.1899 0.4353 0.2455  2 Ag 3.61-3.77, 2 Pb 3.74-3.84
K5 0.9011 0.1878 0.7133  3 Ag 3.47-3.73, 1 Pb 3.83
K6 0.2982 0.6690 0.9672  3 Ag 3.51-3.60
K7 0.8101 0.0556 0.2455  2 Ag 3.61-3.77, 2 Pb 3.74-3.84
K8 0.7018 0.3310 0.0328  3 Ag 3.51-3.60
K9 0.8101 0.5647 0.7545  2 Ag 3.61-3.77, 2 Pb 3.74-3.84
K10 0.5256 0.8122 0.7133  3 Ag 3.47-3.73, 1 Pb 3.83
K11 0.0989 0.8122 0.2867  3 Ag 3.47-3.73, 1 Pb 3.83
K12 0.1899 0.9444 0.7545  2 Ag 3.61-3.77, 2 Pb 3.74-3.84
Ag1 0.3563 0.3563 0.0000  1 Ag 3.07
Ag2 0.6437 0.6437 0.0000  1 Ag 3.07
Ag3 0.5000 0.1139 0.6139  1 Ag 2.91
Ag4 0.5000 0.8861 0.3861  1 Ag 2.91

***

Record 4
Crystalline CaPtN2 at its relaxed geometry. Source: the Alexandria database, functional PBE.

Output
**V**: 61.2 Å³/f.u.
**Raw formation energy**: 609.7 meV/atom
**E**: -5.56 eV per atom
**ΔE to the lowest computed polymorph**: 473 meV per atom

abc: 6.3929 6.3929 6.3929
angles: 30.93 30.93 30.93
Closest atoms and distances in Å follow each position.
Atoms (fractional coordinates):
Ca1 0.0000 0.0000 0.0000  2 N 2.22
N1 0.8784 0.8784 0.8784  3 Pt 2.13, 1 Ca 2.22
N2 0.1216 0.1216 0.1216  3 Pt 2.13, 1 Ca 2.22
Pt1 0.5000 0.5000 0.5000  6 N 2.13

***

Record 5
Crystalline CuSn5 at its relaxed geometry. Source: the Alexandria database, functional PBE.

Output
**V**: 150.1 Å³/f.u.
**DFT formation energy**: 0.12 eV per atom
**E**: -3.90 eV per atom

abc: 3.2983 5.6248 8.5667
angles: 109.17 90.00 90.00
Closest atoms and distances in Å follow each position.
Atoms (fractional coordinates):
Sn1 0.0000 0.3180 0.6361  12 Sn 3.30-3.57
Sn2 0.5000 0.1350 0.2700  2 Cu 2.74
Sn3 0.0000 0.6820 0.3639  12 Sn 3.30-3.57
Sn4 0.5000 0.5000 0.0000  4 Cu 3.26, 10 Sn 3.30-3.56
Sn5 0.5000 0.8650 0.7300  2 Cu 2.74
Cu1 0.0000 0.0000 0.0000  4 Sn 2.74

***

Record 6
Crystalline LiLa2Ga3Cu12 at its relaxed geometry. Source: the Alexandria database, functional PBE.

Output
**V**: 305.7 Å³/f.u.
**DFT formation energy**: 0.10 eV per atom
**E**: -3.79 eV per atom

abc: 9.5391 9.5391 9.5391
angles: 38.75 38.75 38.75
Closest atoms and distances in Å follow each position.
Atoms (fractional coordinates):
Cu1 0.5782 0.5782 0.1930  4 Cu 2.44-2.50, 2 Ga 2.46
Cu2 0.4218 0.4218 0.8070  4 Cu 2.44-2.50, 2 Ga 2.46
Cu3 0.8070 0.4218 0.4218  4 Cu 2.44-2.50, 2 Ga 2.46
Cu4 0.0635 0.6568 0.0635  1 Li 2.42, 4 Cu 2.50-2.57, 1 Ga 2.52
Cu5 0.3432 0.9365 0.9365  1 Li 2.42, 4 Cu 2.50-2.57, 1 Ga 2.52
Cu6 0.9365 0.3432 0.9365  1 Li 2.42, 4 Cu 2.50-2.57, 1 Ga 2.52
Cu7 0.9365 0.9365 0.3432  1 Li 2.42, 4 Cu 2.50-2.57, 1 Ga 2.52
Cu8 0.5782 0.1930 0.5782  4 Cu 2.44-2.50, 2 Ga 2.46
Cu9 0.4218 0.8070 0.4218  4 Cu 2.44-2.50, 2 Ga 2.46
Cu10 0.1930 0.5782 0.5782  4 Cu 2.44-2.50, 2 Ga 2.46
Cu11 0.0635 0.0635 0.6568  1 Li 2.42, 4 Cu 2.50-2.57, 1 Ga 2.52
Cu12 0.6568 0.0635 0.0635  1 Li 2.42, 4 Cu 2.50-2.57, 1 Ga 2.52
Ga1 0.5000 0.0000 0.0000  6 Cu 2.46-2.52
Ga2 0.0000 0.0000 0.5000  6 Cu 2.46-2.52
Ga3 0.0000 0.5000 0.0000  6 Cu 2.46-2.52
Li1 0.0000 0.0000 0.0000  6 Cu 2.42
La1 0.3443 0.3443 0.3443  6 Cu 3.09-3.12
La2 0.6557 0.6557 0.6557  6 Cu 3.09-3.12